Record 1
A geometry-optimized YB2H structure, computed with PBE-GGA.

a b c (Å): 5.828 5.828 5.828
angles (deg): 90.00 90.00 90.00
Space group Fm-3m (No. 225)
Unique sites:
Y: 0.000 0.000 0.000 (multiplicity 4)
B: 0.250 0.250 0.250 (multiplicity 8)
H: 0.000 0.000 0.500 (multiplicity 4)

Results
- V: 12.4 A^3/atom
- Energy above the lowest structure with this stoichiometry: 1.114 eV/atom

=====

Record 2
A geometry-optimized YB3H structure, computed with PBE-GGA.

a b c (Å): 4.937 4.937 4.937
angles (deg): 90.00 90.00 90.00
Space group Pm-3m (No. 221)
Unique sites:
Y: 0.000 0.000 0.000 (multiplicity 1)
B: 0.000 0.000 0.500 (multiplicity 3)
H: 0.500 0.500 0.500 (multiplicity 1)

Results
- V: 24.1 A^3/atom
- Energy above the lowest structure with this stoichiometry: 1.774 eV/atom

=====

Record 3
A geometry-optimized YB2H structure, computed with PBE-GGA.

a b c (Å): 3.319 3.319 15.693
angles (deg): 90.00 90.00 90.00
Space group I4_1/amd (No. 141, origin choice 2)
Unique sites:
Y: 0.000 0.250 0.375 (multiplicity 4)
B: 0.000 0.000 0.000 (multiplicity 8)
H: 0.000 0.250 0.875 (multiplicity 4)

Results
- V: 10.8 A^3/atom
- Energy above the lowest structure with this stoichiometry: 0.000 eV/atom

=====

Record 4
A geometry-optimized YB2H8 structure, computed with PBE-GGA.

a b c (Å): 9.157 6.576 3.803
angles (deg): 90.00 108.47 90.00
Space group C2/m (No. 12)
Unique sites:
Y: 0.000 0.000 0.000 (multiplicity 2)
B: 0.217 0.000 0.663 (multiplicity 4)
H: 0.139 0.156 0.672 (multiplicity 8)
H: 0.158 0.500 0.102 (multiplicity 4)
H: 0.241 0.000 0.363 (multiplicity 4)

Results
- V: 9.9 A^3/atom
- Energy above the lowest structure with this stoichiometry: 0.082 eV/atom

=====

no.,total magnetic moment (μB per formula unit)
1,0.000
2,0.476
3,0.000
4,0.606